Compound: LaMg4Os
Source: Alexandria
Functional: GGA-PBE
Structure: relaxed

Output
The formation energy comes out at 0.261 eV per atom. The calculation puts the density of states at the Fermi level at 0.88 states/eV/atom. As for the crystal system: cubic.

Structure (CIF):
```
data_LaMg4Os
_space_group_name_H-M_alt 'F -4 3 m'
_space_group_IT_number 216
_space_group_name_Hall 'F -4 2 3'
_cell_length_a 7.977
_cell_length_b 7.977
_cell_length_c 7.977
_cell_angle_alpha 90.00
_cell_angle_beta 90.00
_cell_angle_gamma 90.00
loop_
_atom_site_label
_atom_site_fract_x
_atom_site_fract_y
_atom_site_fract_z
La1 0.000 0.000 0.000
Mg1 0.123 0.123 0.623
Os1 0.250 0.250 0.250
```